#A
Ce5YPb6, relaxed, DFT PBE; crystal system = orthorhombic; symmetry = Immm, No. 71; density of states at the Fermi level = 31.488 states/eV/cell
1.0
-2.976 -5.086 0.628
5.551 -3.447 -1.581
0.992 3.994 9.075
Y Pb Ce
1 6 5
Cartesian
0.000 0.000 0.000 Y
2.135 -0.946 2.458 Pb
4.928 -2.681 1.662 Pb
-0.115 -3.395 -0.077 Pb
2.690 -5.138 -0.876 Pb
-1.361 -1.857 6.460 Pb
1.432 -3.592 5.664 Pb
4.302 -1.906 4.966 Ce
2.051 -4.357 2.403 Ce
2.776 -1.723 -0.790 Ce
1.516 -0.181 5.719 Ce
-0.735 -2.633 3.156 Ce



#B
Ce5YPb6, relaxed, DFT PBE; crystal system = monoclinic; symmetry = C2/m, No. 12; density of states at the Fermi level = 16.701 states/eV/cell
1.0
7.851 0.213 0.000
2.416 7.470 0.000
1.208 3.735 6.802
Ce Y Pb
5 1 6
Cartesian
5.134 3.842 4.542 Ce
1.208 3.735 2.268 Ce
5.134 3.842 0.000 Ce
2.416 7.470 4.533 Ce
6.341 7.577 2.260 Ce
0.000 0.000 0.000 Y
6.492 2.033 2.276 Pb
3.775 5.650 2.276 Pb
2.571 1.932 0.000 Pb
7.696 5.752 0.000 Pb
7.700 5.769 4.526 Pb
4.983 9.385 4.526 Pb



The structure with the greatest stability is #A.



#A
CeZrPb, relaxed, DFT PBE; crystal system = orthorhombic; symmetry = Immm, No. 71; density of states at the Fermi level = 12.145 states/eV/cell
1.0
-2.378 2.886 -3.742
0.318 -2.255 -5.681
-6.119 -0.059 0.104
Zr Ce Pb
2 2 2
Cartesian
-0.739 -1.894 -4.731 Zr
-5.062 -0.419 -0.847 Zr
-3.109 -0.048 -5.541 Ce
-5.070 0.621 -3.779 Ce
-6.166 0.382 -7.007 Pb
-2.014 0.191 -2.313 Pb



#B
CeZrPb, relaxed, DFT PBE; crystal system = tetragonal; symmetry = I4mm, No. 107; density of states at the Fermi level = 4.159 states/eV/cell
1.0
-1.788 -3.704 0.295
2.021 -0.695 3.526
-3.655 4.098 0.491
Pb Zr Ce
1 1 1
Cartesian
-0.776 -1.720 2.516 Pb
-1.787 0.959 1.213 Zr
-3.220 -0.409 4.175 Ce



#C
CeZrPb, relaxed, DFT PBE; crystal system = trigonal; symmetry = P3m1, No. 156; density of states at the Fermi level = 6.675 states/eV/cell
1.0
3.402 0.000 0.000
0.000 5.286 0.000
0.000 -2.643 4.578
Pb Zr Ce
1 1 1
Cartesian
2.829 2.643 1.526 Pb
2.840 0.000 0.000 Zr
1.135 0.000 3.052 Ce



#D
CeZrPb, relaxed, DFT PBE; crystal system = tetragonal; symmetry = P4/nmm, No. 129; density of states at the Fermi level = 14.264 states/eV/cell
1.0
4.436 0.000 0.000
0.000 4.436 0.000
0.000 0.000 8.652
Ce Zr Pb
2 2 2
Cartesian
0.000 2.218 7.349 Ce
2.218 0.000 1.303 Ce
2.218 2.218 4.326 Zr
0.000 0.000 4.326 Zr
0.000 2.218 2.108 Pb
2.218 0.000 6.544 Pb



The structure with the greatest stability is #D.



#A
CeZrPb2, relaxed, DFT PBE; crystal system = trigonal; symmetry = R-3m, No. 166; density of states at the Fermi level = 7.909 states/eV/cell
1.0
4.952 0.000 0.000
2.476 4.288 0.000
2.476 1.429 5.326
Pb Zr Ce
2 1 1
Cartesian
7.428 4.288 3.831 Pb
2.476 1.429 1.495 Pb
4.952 2.859 2.663 Zr
0.000 0.000 0.000 Ce



#B
CeZrPb2, relaxed, DFT PBE; crystal system = tetragonal; symmetry = P4/mmm, No. 123; density of states at the Fermi level = 7.462 states/eV/cell
1.0
-1.698 2.971 -2.066
-3.196 -2.301 -0.683
-2.850 2.287 5.632
Pb Zr Ce
2 1 1
Cartesian
-2.198 1.764 4.344 Pb
-0.652 0.523 1.289 Pb
-2.447 0.335 -1.374 Zr
-3.872 1.479 1.442 Ce



The structure with the greatest stability is #B.



#A
CePmPd4, relaxed, DFT PBE; crystal system = orthorhombic; symmetry = Cmcm, No. 63; density of states at the Fermi level = 25.736 states/eV/cell
1.0
4.417 0.000 0.000
0.000 8.105 0.000
0.000 0.000 13.430
Ce Pm Pd
4 4 16
Cartesian
3.313 6.080 10.266 Ce
1.104 2.025 3.164 Ce
1.104 6.078 3.551 Ce
3.313 2.027 9.879 Ce
3.313 2.025 5.977 Pm
1.104 6.080 7.453 Pm
1.104 2.028 12.692 Pm
3.313 6.077 0.738 Pm
3.313 8.002 7.987 Pd
1.104 0.103 5.443 Pd
1.104 4.156 1.272 Pd
3.313 3.949 12.158 Pd
3.313 6.080 5.496 Pd
1.104 2.026 7.934 Pd
1.104 6.078 12.211 Pd
3.313 2.027 1.219 Pd
3.313 0.104 12.162 Pd
1.104 8.001 1.268 Pd
1.104 3.948 5.447 Pd
3.313 4.157 7.983 Pd
3.313 8.104 3.356 Pd
1.104 0.001 10.074 Pd
1.104 4.054 10.071 Pd
3.313 4.051 3.359 Pd



#B
CePmPd4, relaxed, DFT PBE; crystal system = cubic; symmetry = F-43m, No. 216; density of states at the Fermi level = 7.590 states/eV/cell
1.0
5.506 0.000 0.000
2.753 4.768 0.000
2.753 1.589 4.495
Pd Ce Pm
4 1 1
Cartesian
5.506 3.179 0.561 Pd
5.506 1.589 2.810 Pd
6.882 3.974 2.810 Pd
4.129 3.974 2.810 Pd
0.000 0.000 0.000 Ce
2.753 1.589 1.124 Pm



The structure with the greatest stability is #B.